{"formula": "SbPtCl2", "functional": "SCAN", "state": "single point on PBEsol structure", "cell": [[3.770, 0.000, 0.000], [1.885, 3.265, 0.000], [1.885, 1.088, 7.638]], "species": ["Sb", "Pt", "Cl", "Cl"], "fractional_positions": [[0.233, 0.233, 0.300], [0.506, 0.506, 0.483], [0.983, 0.983, 0.051], [0.778, 0.778, 0.667]], "magnetic_moment_mub_per_fu": 0.00, "raw_formation_energy_ev_per_fu": -2.11, "crystal_system": "trigonal", "energy_ev_per_atom": -31.381, "dos_at_fermi_per_ev_cell": 3.176}